[1]
LiFe2P3O12 | meta-GGA SCAN | PBEsol geometry

mass density: 3.50 g/cm³
E_form (uncorrected): -2068.4 meV per atom

abc: 8.043 8.362 13.866
angles: 90.00 124.74 90.00
Element x y z (fractional)
Li 0.001 0.207 0.177
Li 0.001 0.293 0.677
Li 0.999 0.707 0.323
Li 0.999 0.793 0.823
Fe 0.136 0.028 0.385
Fe 0.136 0.472 0.885
Fe 0.366 0.030 0.113
Fe 0.366 0.470 0.613
Fe 0.634 0.530 0.387
Fe 0.634 0.970 0.887
Fe 0.864 0.528 0.115
Fe 0.864 0.972 0.615
P 0.031 0.620 0.641
P 0.031 0.880 0.141
P 0.260 0.116 0.648
P 0.260 0.384 0.148
P 0.464 0.749 0.493
P 0.464 0.751 0.993
P 0.536 0.249 0.007
P 0.536 0.251 0.507
P 0.740 0.616 0.852
P 0.740 0.884 0.352
P 0.969 0.120 0.859
P 0.969 0.380 0.359
O 0.015 0.715 0.185
O 0.015 0.785 0.685
O 0.109 0.081 0.682
O 0.109 0.419 0.182
O 0.112 0.000 0.243
O 0.112 0.500 0.743
O 0.161 0.066 0.520
O 0.161 0.434 0.020
O 0.173 0.620 0.601
O 0.173 0.880 0.101
O 0.186 0.061 0.954
O 0.186 0.439 0.454
O 0.250 0.677 0.934
O 0.250 0.823 0.434
O 0.268 0.197 0.156
O 0.268 0.303 0.656
O 0.377 0.121 0.438
O 0.377 0.379 0.938
O 0.458 0.023 0.727
O 0.458 0.477 0.227
O 0.463 0.677 0.389
O 0.463 0.823 0.889
O 0.493 0.628 0.584
O 0.493 0.872 0.084
O 0.507 0.128 0.916
O 0.507 0.372 0.416
O 0.537 0.177 0.111
O 0.537 0.323 0.611
O 0.542 0.523 0.773
O 0.542 0.977 0.273
O 0.623 0.621 0.062
O 0.623 0.879 0.562
O 0.732 0.697 0.344
O 0.732 0.803 0.844
O 0.750 0.177 0.566
O 0.750 0.323 0.066
O 0.814 0.561 0.546
O 0.814 0.939 0.046
O 0.827 0.120 0.899
O 0.827 0.380 0.399
O 0.839 0.566 0.980
O 0.839 0.934 0.480
O 0.888 0.000 0.757
O 0.888 0.500 0.257
O 0.891 0.581 0.818
O 0.891 0.919 0.318
O 0.985 0.215 0.315
O 0.985 0.285 0.815

[2]
LiFe2P2O8 | meta-GGA SCAN | PBEsol geometry

mass density: 4.04 g/cm³
energy above the most stable polymorph in this dataset: 21 meV per atom
E_form (uncorrected): -2168.6 meV per atom

abc: 4.765 4.765 6.068
angles: 91.14 91.14 67.03
Element x y z (fractional)
Li 0.000 0.000 0.000
Fe 0.669 0.669 0.261
Fe 0.671 0.671 0.737
P 0.022 0.022 0.508
P 0.329 0.329 0.970
O 0.380 0.899 0.511
O 0.432 0.432 0.184
O 0.435 0.435 0.767
O 0.443 0.967 0.972
O 0.899 0.380 0.511
O 0.911 0.911 0.710
O 0.919 0.919 0.291
O 0.967 0.443 0.972